No. 1
First-principles (PBE) data for Ce2HfGa after structural relaxation, as listed in the Alexandria database.

For the offset from the most stable computed form, the calculation gives 276 meV per atom. The formation energy is 7.5 kJ/mol of atoms. The crystal system is trigonal. For the electronic total energy, the calculation gives -6.1347 eV/atom.

The structure belongs to space group R-3m (No. 166, hexagonal axes); the cell edges are 3.0784, 3.0784 and 33.9718 Å and the angles 90.00°, 90.00° and 120.00°. Symmetry generates all atoms from Ce at (0.0000, 0.0000, 0.0893), Hf at (0.0000, 0.0000, 0.0000) and Ga at (0.0000, 0.0000, 0.5000).

=====

No. 2
First-principles (PBE) data for Ru3Cl after structural relaxation, as listed in the Alexandria database.

For the offset from the most stable computed form, the calculation gives 93 meV per atom. As for the formation energy without anion corrections: 0.515 eV per atom. The crystal system is tetragonal. For the electronic total energy, the calculation gives -6.9038 eV/atom.

The structure belongs to space group P4/mmm (No. 123); the cell edges are 2.810, 2.810 and 7.326 Å and the angles 90.00°, 90.00° and 90.00°. Symmetry generates all atoms from Ru at (0.000, 0.000, 0.000), Ru at (0.500, 0.500, 0.245) and Cl at (0.000, 0.000, 0.500).

=====

No. 3
First-principles (PBE) data for TaAl2Rh after structural relaxation, as listed in the Alexandria database.

The formation energy is -9.0 kJ/mol of atoms. The crystal system is tetragonal. For the electronic total energy, the calculation gives -6.7655 eV/atom.

The structure belongs to space group I-42d (No. 122); the cell edges are 7.017, 7.017 and 5.435 Å and the angles 90.00°, 90.00° and 90.00°. Symmetry generates all atoms from Ta at (0.000, 0.000, 0.000), Al at (0.217, 0.250, 0.625) and Rh at (0.000, 0.000, 0.500).

=====

No. 4
First-principles (PBE) data for Ce3BiSb2 after structural relaxation, as listed in the Alexandria database.

As for the formation energy without anion corrections: -0.956 eV per atom. The crystal system is monoclinic. For the electronic total energy, the calculation gives -5.9435 eV/atom.

The structure belongs to space group C2/c (No. 15); the cell edges are 7.860, 13.609 and 7.850 Å and the angles 90.00°, 109.51° and 90.00°. Symmetry generates all atoms from Ce at (0.243, 0.085, 0.498), Ce at (0.250, 0.250, 0.000), Bi at (0.000, 0.418, 0.750), Sb at (0.000, 0.084, 0.750) and Sb at (0.000, 0.252, 0.250).

=====

No. 5
First-principles (PBE) data for YHo7Th2 after structural relaxation, as listed in the Alexandria database.

For the offset from the most stable computed form, the calculation gives 0 meV per atom. The formation energy is 3.0 kJ/mol of atoms. The crystal system is triclinic. For the electronic total energy, the calculation gives -5.3037 eV/atom.

The structure belongs to space group P-1 (No. 2); the cell edges are 6.134, 7.066 and 7.944 Å and the angles 77.08°, 74.82° and 73.64°. Symmetry generates all atoms from Y at (0.000, 0.000, 0.000), Ho at (0.000, 0.500, 0.000), Ho at (0.198, 0.299, 0.599), Ho at (0.395, 0.099, 0.205), Ho at (0.404, 0.599, 0.203) and Th at (0.198, 0.801, 0.599).

=====

No. 6
First-principles (PBE) data for TbPm2HoSc4 after structural relaxation, as listed in the Alexandria database.

The formation energy is 6.0 kJ/mol of atoms. The crystal system is monoclinic. For the electronic total energy, the calculation gives -5.4423 eV/atom.

The structure belongs to space group P2/m (No. 10); the cell edges are 5.965, 3.447 and 11.181 Å and the angles 90.00°, 100.19° and 90.00°. Symmetry generates all atoms from Tb at (0.000, 0.000, 0.000), Pm at (0.500, 0.000, 0.500), Pm at (0.500, 0.500, 0.000), Ho at (0.000, 0.500, 0.500), Sc at (0.249, 0.000, 0.750) and Sc at (0.249, 0.500, 0.250).

=====

> What is the formula in the second record?

Ru3Cl

=====

> Number 3 is which compound?

TaAl2Rh

=====

> The lowest electronic total energy belongs to which entry?

Ru3Cl